Record 1
! CuRu2Br, optimized geometry, DFT GGA-PBEsol; values from VASP
&SYSTEM
  ibrav = 0, nat = 4, ntyp = 3
/
ATOMIC_SPECIES
Br 79.90 Br.upf
Cu 63.55 Cu.upf
Ru 101.07 Ru.upf
CELL_PARAMETERS angstrom
-1.415 1.792 1.563
-1.282 -1.260 -2.104
-2.348 -6.493 5.318
ATOMIC_POSITIONS angstrom
Br -2.522 -2.980 2.389
Cu -1.348 0.266 -0.270
Ru -0.565 -1.563 1.280
Ru -1.783 -4.930 4.038
! **Energy relative to the lowest polymorph listed for this composition**: 0.199 eV/atom
! **Raw formation energy**: 0.94 eV per atom

Record 2
! ScNi2BH, optimized geometry, DFT GGA-PBEsol; values from VASP
&SYSTEM
  ibrav = 0, nat = 5, ntyp = 4
/
ATOMIC_SPECIES
Sc 44.96 Sc.upf
Ni 58.69 Ni.upf
B 10.81 B.upf
H 1.01 H.upf
CELL_PARAMETERS angstrom
-1.495 3.146 -0.528
-2.831 -1.039 1.821
1.641 1.336 3.313
ATOMIC_POSITIONS angstrom
Sc 0.820 0.668 1.657
Ni -1.415 -0.520 0.910
Ni -0.747 1.573 -0.264
B -1.342 1.721 2.303
H 0.000 0.000 0.000
! **Calculated total energy**: -29.32 eV per cell

Record 3
! SrSiTe2, optimized geometry, DFT GGA-PBEsol; values from VASP
&SYSTEM
  ibrav = 0, nat = 4, ntyp = 3
/
ATOMIC_SPECIES
Sr 87.62 Sr.upf
Si 28.09 Si.upf
Te 127.60 Te.upf
CELL_PARAMETERS angstrom
4.327 0.000 0.000
2.164 3.747 0.000
2.164 1.249 7.376
ATOMIC_POSITIONS angstrom
Sr 0.000 0.000 0.000
Si 4.327 2.498 3.688
Te 2.164 1.249 2.118
Te 6.491 3.747 5.258
! **Raw formation energy**: -0.65 eV per atom

Record 4
! RbNbNi3, optimized geometry, DFT GGA-PBEsol; values from VASP
&SYSTEM
  ibrav = 0, nat = 5, ntyp = 3
/
ATOMIC_SPECIES
Ni 58.69 Ni.upf
Nb 92.91 Nb.upf
Rb 85.47 Rb.upf
CELL_PARAMETERS angstrom
-1.836 -3.009 -2.729
3.815 -2.307 -0.023
-1.397 -2.344 3.525
ATOMIC_POSITIONS angstrom
Ni 1.907 -1.154 -0.011
Ni -0.698 -1.172 1.763
Ni -0.918 -1.505 -1.364
Nb 0.291 -3.830 0.387
Rb 0.000 0.000 0.000
! **Calculated formation energy**: 2.35 eV per atom

Record 5
! MnNi2Pt, optimized geometry, DFT GGA-PBEsol; values from VASP
&SYSTEM
  ibrav = 0, nat = 4, ntyp = 3
/
ATOMIC_SPECIES
Ni 58.69 Ni.upf
Mn 54.94 Mn.upf
Pt 195.08 Pt.upf
CELL_PARAMETERS angstrom
-1.109 -3.545 -1.744
-0.498 -3.355 2.309
-3.761 -1.512 0.638
ATOMIC_POSITIONS angstrom
Ni -1.342 -2.103 0.301
Ni -4.025 -6.309 0.902
Mn 0.000 0.000 0.000
Pt -2.684 -4.206 0.602
! **Calculated formation energy**: -0.02 eV per atom

Record 6
! Li2Hf2Pd, optimized geometry, DFT GGA-PBEsol; values from VASP
&SYSTEM
  ibrav = 0, nat = 10, ntyp = 3
/
ATOMIC_SPECIES
Hf 178.49 Hf.upf
Pd 106.42 Pd.upf
Li 6.94 Li.upf
CELL_PARAMETERS angstrom
3.208 0.000 0.000
0.000 7.331 0.000
0.000 0.000 7.331
ATOMIC_POSITIONS angstrom
Hf 0.000 2.543 6.209
Hf 0.000 6.209 4.788
Hf 0.000 4.788 1.122
Hf 0.000 1.122 2.543
Pd 0.000 0.000 0.000
Pd 0.000 3.665 3.665
Li 1.604 1.092 4.757
Li 1.604 4.757 6.239
Li 1.604 6.239 2.574
Li 1.604 2.574 1.092
! **Calculated formation energy**: 0.47 eV per atom

Record 7
! Mn2CoAu, optimized geometry, DFT GGA-PBEsol; values from VASP
&SYSTEM
  ibrav = 0, nat = 4, ntyp = 3
/
ATOMIC_SPECIES
Co 58.93 Co.upf
Mn 54.94 Mn.upf
Au 196.97 Au.upf
CELL_PARAMETERS angstrom
2.911 0.000 0.000
0.000 2.911 0.000
0.000 0.000 6.360
ATOMIC_POSITIONS angstrom
Co 1.455 1.455 3.180
Mn 0.000 0.000 4.561
Mn 0.000 0.000 1.799
Au 1.455 1.455 0.000
! **Energy relative to the lowest polymorph listed for this composition**: 0.000 eV/atom
! **Calculated formation energy**: 0.13 eV per atom

Record 8
! TaTiGe2, optimized geometry, DFT GGA-PBEsol; values from VASP
&SYSTEM
  ibrav = 0, nat = 4, ntyp = 3
/
ATOMIC_SPECIES
Ge 72.64 Ge.upf
Ti 47.87 Ti.upf
Ta 180.95 Ta.upf
CELL_PARAMETERS angstrom
-4.248 -0.424 1.354
-2.849 -2.549 -2.332
-1.431 -3.889 1.698
ATOMIC_POSITIONS angstrom
Ge -2.132 -1.716 0.180
Ge -6.396 -5.147 0.540
Ti 0.000 0.000 0.000
Ta -4.264 -3.431 0.360
! **Calculated formation energy**: -0.17 eV per atom

Record 9
! TeAsN2F, optimized geometry, DFT GGA-PBEsol; values from VASP
&SYSTEM
  ibrav = 0, nat = 5, ntyp = 4
/
ATOMIC_SPECIES
N 14.01 N.upf
As 74.92 As.upf
Te 127.60 Te.upf
F 19.00 F.upf
CELL_PARAMETERS angstrom
3.615 0.000 0.000
0.000 3.615 0.000
0.000 0.000 5.852
ATOMIC_POSITIONS angstrom
N 0.000 1.808 0.000
N 1.808 0.000 0.000
As 0.000 0.000 0.000
Te 0.000 0.000 2.926
F 1.808 1.808 2.926
! **Raw formation energy**: 0.87 eV per atom

Record 10
! ZnOs2Se, optimized geometry, DFT GGA-PBEsol; values from VASP
&SYSTEM
  ibrav = 0, nat = 4, ntyp = 3
/
ATOMIC_SPECIES
Os 190.23 Os.upf
Se 78.96 Se.upf
Zn 65.41 Zn.upf
CELL_PARAMETERS angstrom
3.981 0.000 0.000
0.000 3.981 0.000
-1.991 -1.991 3.688
ATOMIC_POSITIONS angstrom
Os 0.000 0.000 0.000
Os 1.991 0.000 1.844
Se 1.991 1.991 0.000
Zn 0.000 1.991 1.844
! **Energy relative to the lowest polymorph listed for this composition**: 0.418 eV/atom
! **Raw formation energy**: 0.72 eV per atom

Record 11
! Co3Sb, optimized geometry, DFT GGA-PBEsol; values from VASP
&SYSTEM
  ibrav = 0, nat = 4, ntyp = 2
/
ATOMIC_SPECIES
Sb 121.76 Sb.upf
Co 58.93 Co.upf
CELL_PARAMETERS angstrom
3.124 0.000 0.000
0.000 3.124 0.000
0.000 0.000 5.172
ATOMIC_POSITIONS angstrom
Sb 1.562 1.562 0.000
Co 0.000 0.000 3.784
Co 1.562 1.562 2.586
Co 0.000 0.000 1.388
! **Raw formation energy**: 0.25 eV per atom

Record 12
! ZrZn2Sb, optimized geometry, DFT GGA-PBEsol; values from VASP
&SYSTEM
  ibrav = 0, nat = 4, ntyp = 3
/
ATOMIC_SPECIES
Sb 121.76 Sb.upf
Zn 65.41 Zn.upf
Zr 91.22 Zr.upf
CELL_PARAMETERS angstrom
-2.105 -1.400 3.308
3.591 -0.897 1.905
0.072 3.835 1.669
ATOMIC_POSITIONS angstrom
Sb 0.036 1.917 0.835
Zn 1.795 -0.448 0.953
Zn -1.052 -0.700 1.654
Zr 0.779 0.769 3.441
! **Raw formation energy**: -0.28 eV per atom

Record 13
! Ca2MgW, optimized geometry, DFT GGA-PBEsol; values from VASP
&SYSTEM
  ibrav = 0, nat = 4, ntyp = 3
/
ATOMIC_SPECIES
Ca 40.08 Ca.upf
Mg 24.30 Mg.upf
W 183.84 W.upf
CELL_PARAMETERS angstrom
-0.984 -1.145 2.552
-0.632 -5.237 -2.594
5.262 0.936 2.448
ATOMIC_POSITIONS angstrom
Ca -0.316 -2.618 -1.297
Ca 2.631 0.468 1.224
Mg -0.492 -0.573 1.276
W 1.823 -2.723 1.203
! **Calculated formation energy**: 0.79 eV per atom

Record 14
! PbI2N2, optimized geometry, DFT GGA-PBEsol; values from VASP
&SYSTEM
  ibrav = 0, nat = 5, ntyp = 3
/
ATOMIC_SPECIES
Pb 207.20 Pb.upf
I 126.90 I.upf
N 14.01 N.upf
CELL_PARAMETERS angstrom
-0.527 -3.342 4.507
5.106 2.032 -1.252
-2.297 5.144 0.189
ATOMIC_POSITIONS angstrom
Pb 0.000 0.000 0.000
I 2.991 1.139 1.362
I -0.710 2.695 2.082
N 1.607 4.104 -0.608
N 1.202 3.072 -0.455
! **Raw formation energy**: -0.21 eV per atom

Record 15
! NiP4O11, optimized geometry, DFT GGA-PBEsol; values from VASP
&SYSTEM
  ibrav = 0, nat = 64, ntyp = 3
/
ATOMIC_SPECIES
Ni 58.69 Ni.upf
P 30.97 P.upf
O 16.00 O.upf
CELL_PARAMETERS angstrom
5.262 -0.036 0.000
-2.563 6.913 0.000
0.000 0.000 22.285
ATOMIC_POSITIONS angstrom
Ni -2.196 6.005 2.566
Ni -0.915 2.549 8.577
Ni 3.614 4.328 13.708
Ni 4.895 0.872 19.719
P -0.475 5.559 9.542
P -0.430 6.694 17.940
P 0.231 3.803 18.315
P 0.301 4.877 0.828
P 0.806 2.103 1.601
P 0.852 3.237 15.487
P 1.117 5.457 11.971
P 1.187 6.530 7.172
P 1.513 0.346 15.113
P 1.583 1.420 10.314
P 1.847 3.639 6.798
P 1.893 4.774 20.684
P 2.398 2.000 21.457
P 2.468 3.074 3.970
P 3.129 0.183 4.345
P 3.174 1.318 12.743
O -1.934 6.199 14.600
O -1.301 4.348 9.436
O -1.330 6.737 10.129
O -0.953 5.629 1.040
O -0.670 6.780 3.607
O -0.653 2.742 18.828
O -0.630 5.069 17.974
O -0.468 3.865 15.230
O -0.169 5.205 12.660
O 2.424 -0.007 16.350
O 0.014 6.069 8.126
O -0.020 0.892 1.707
O -0.048 3.281 1.014
O 0.328 2.172 10.102
O 0.544 4.882 21.492
O 0.611 3.324 7.535
O 0.651 1.613 15.453
O 0.814 0.408 18.198
O 0.874 5.451 10.350
O 1.112 1.749 20.768
O 1.142 3.449 17.078
O 1.296 2.613 3.016
O 1.403 4.264 19.269
O 1.557 3.428 5.207
O 1.587 5.128 1.517
O 1.825 1.425 11.935
O 1.885 6.468 4.087
O 2.048 5.264 6.832
O 2.088 3.553 14.750
O 2.155 1.995 0.793
O 2.371 4.705 12.183
O 2.748 3.596 21.271
O 2.719 5.985 20.578
O 2.685 0.808 14.159
O 0.275 6.884 5.935
O 2.868 1.671 9.625
O 3.167 3.012 7.055
O 3.329 1.807 4.311
O 3.352 4.135 3.457
O 3.369 0.096 18.678
O 3.652 1.248 21.245
O 4.029 0.140 12.156
O 4.000 2.528 12.849
O 4.633 0.678 7.685
! **Energy relative to the lowest polymorph listed for this composition**: 0.000 eV/atom
! **Raw formation energy**: -1.89 eV per atom

Record 16
! ZrAgTe2, optimized geometry, DFT GGA-PBEsol; values from VASP
&SYSTEM
  ibrav = 0, nat = 4, ntyp = 3
/
ATOMIC_SPECIES
Ag 107.87 Ag.upf
Te 127.60 Te.upf
Zr 91.22 Zr.upf
CELL_PARAMETERS angstrom
3.856 0.000 0.000
0.000 3.856 0.000
0.000 0.000 6.569
ATOMIC_POSITIONS angstrom
Ag 1.928 1.928 5.009
Te 0.000 0.000 5.996
Te 1.928 1.928 2.165
Zr 0.000 0.000 3.254
! **Raw formation energy**: -0.45 eV per atom

Record 17
! Rb2AsPtW, optimized geometry, DFT GGA-PBEsol; values from VASP
&SYSTEM
  ibrav = 0, nat = 5, ntyp = 4
/
ATOMIC_SPECIES
As 74.92 As.upf
Rb 85.47 Rb.upf
W 183.84 W.upf
Pt 195.08 Pt.upf
CELL_PARAMETERS angstrom
-2.103 -3.155 -2.959
5.420 -2.796 -0.870
-1.150 -3.715 4.778
ATOMIC_POSITIONS angstrom
As 1.084 -4.833 0.474
Rb -0.575 -1.858 2.389
Rb 2.710 -1.398 -0.435
W -1.051 -1.578 -1.480
Pt 0.000 0.000 0.000
! **Calculated formation energy**: 1.33 eV per atom

Record 18
! As3Ru, optimized geometry, DFT GGA-PBEsol; values from VASP
&SYSTEM
  ibrav = 0, nat = 4, ntyp = 2
/
ATOMIC_SPECIES
Ru 101.07 Ru.upf
As 74.92 As.upf
CELL_PARAMETERS angstrom
-2.043 2.247 0.520
-2.492 -1.447 -3.543
-2.339 -2.770 2.776
ATOMIC_POSITIONS angstrom
Ru -1.022 1.123 0.260
As -1.170 -1.385 1.388
As -3.437 -0.985 -0.123
As -1.246 -0.723 -1.771
! **Energy relative to the lowest polymorph listed for this composition**: 0.252 eV/atom
! **Calculated formation energy**: 0.40 eV per atom

Record 19
! SrTl2Pb, optimized geometry, DFT GGA-PBEsol; values from VASP
&SYSTEM
  ibrav = 0, nat = 4, ntyp = 3
/
ATOMIC_SPECIES
Pb 207.20 Pb.upf
Sr 87.62 Sr.upf
Tl 204.38 Tl.upf
CELL_PARAMETERS angstrom
-2.756 -2.208 4.285
-2.161 -5.098 -0.419
2.227 -4.204 2.864
ATOMIC_POSITIONS angstrom
Pb -1.345 -5.755 3.365
Sr -0.673 -2.878 1.683
Tl 0.000 0.000 0.000
Tl -2.018 -8.633 5.048
! **Calculated formation energy**: -0.27 eV per atom

Record 20
! KScTe, optimized geometry, DFT GGA-PBEsol; values from VASP
&SYSTEM
  ibrav = 0, nat = 3, ntyp = 3
/
ATOMIC_SPECIES
K 39.10 K.upf
Sc 44.96 Sc.upf
Te 127.60 Te.upf
CELL_PARAMETERS angstrom
-1.258 3.156 -2.216
-1.017 -3.774 -1.085
-6.253 0.471 4.220
ATOMIC_POSITIONS angstrom
K -0.247 0.019 0.166
Sc -4.755 -1.188 1.007
Te -3.526 1.023 -0.254
! **Energy relative to the lowest polymorph listed for this composition**: 0.000 eV/atom
! **Raw formation energy**: -0.47 eV per atom

Record 21
! Ge2WI, optimized geometry, DFT GGA-PBEsol; values from VASP
&SYSTEM
  ibrav = 0, nat = 4, ntyp = 3
/
ATOMIC_SPECIES
I 126.90 I.upf
Ge 72.64 Ge.upf
W 183.84 W.upf
CELL_PARAMETERS angstrom
-0.073 4.006 2.491
-3.792 1.105 2.580
0.227 -0.147 4.710
ATOMIC_POSITIONS angstrom
I 0.000 0.000 0.000
Ge -0.910 1.241 2.445
Ge -2.729 3.724 7.336
W -1.819 2.482 4.891
! **Raw formation energy**: 1.16 eV per atom

Record 22
! BeTe2WCl, optimized geometry, DFT GGA-PBEsol; values from VASP
&SYSTEM
  ibrav = 0, nat = 5, ntyp = 4
/
ATOMIC_SPECIES
Be 9.01 Be.upf
Te 127.60 Te.upf
W 183.84 W.upf
Cl 35.45 Cl.upf
CELL_PARAMETERS angstrom
-0.125 3.289 -3.242
-0.774 -3.563 -3.585
-5.052 0.446 0.647
ATOMIC_POSITIONS angstrom
Be -0.062 1.645 -1.621
Te -2.526 0.223 0.324
Te -0.387 -1.781 -1.792
W 0.000 0.000 0.000
Cl -2.975 0.087 -3.090
! **Raw formation energy**: 0.52 eV per atom

Record 23
! SiNi2Ir, optimized geometry, DFT GGA-PBEsol; values from VASP
&SYSTEM
  ibrav = 0, nat = 4, ntyp = 3
/
ATOMIC_SPECIES
Ni 58.69 Ni.upf
Si 28.09 Si.upf
Ir 192.22 Ir.upf
CELL_PARAMETERS angstrom
3.721 0.000 0.000
-1.860 3.830 -0.007
0.000 1.813 3.249
ATOMIC_POSITIONS angstrom
Ni 0.000 0.000 0.000
Ni 0.000 2.368 0.809
Si 1.860 0.906 1.625
Ir 1.860 3.275 2.433
! **Raw formation energy**: -0.41 eV per atom

Record 24
! CsSnCl2, optimized geometry, DFT GGA-PBEsol; values from VASP
&SYSTEM
  ibrav = 0, nat = 4, ntyp = 3
/
ATOMIC_SPECIES
Cs 132.91 Cs.upf
Sn 118.71 Sn.upf
Cl 35.45 Cl.upf
CELL_PARAMETERS angstrom
-3.815 2.577 1.105
-3.042 1.298 -3.387
-6.803 -5.947 0.523
ATOMIC_POSITIONS angstrom
Cs 0.000 0.000 0.000
Sn -6.830 -1.036 -0.880
Cl -8.521 1.207 -1.810
Cl -5.139 -3.280 0.050
! **Raw formation energy**: -0.81 eV per atom

Record 25
! AsRuSe, optimized geometry, DFT GGA-PBEsol; values from VASP
&SYSTEM
  ibrav = 0, nat = 3, ntyp = 3
/
ATOMIC_SPECIES
Ru 101.07 Ru.upf
As 74.92 As.upf
Se 78.96 Se.upf
CELL_PARAMETERS angstrom
4.193 0.000 0.000
2.096 3.631 0.000
2.096 1.210 3.423
ATOMIC_POSITIONS angstrom
Ru 6.289 3.631 2.568
As 4.193 2.421 1.712
Se 0.000 0.000 0.000
! **Raw formation energy**: -0.15 eV per atom